No. 1
A plane-wave DFT calculation with PBEsol was carried out for a relaxed YCdCCl2 crystal.

Geometry as CIF:
```
data_YCdCCl2
_chemical_formula_sum 'Y1 Cd1 C1 Cl2'
_symmetry_space_group_name_H-M 'P 1'
_symmetry_Int_Tables_number 1
_cell_length_a 5.1891
_cell_length_b 5.1891
_cell_length_c 4.1634
_cell_angle_alpha 90.00
_cell_angle_beta 90.00
_cell_angle_gamma 90.00
loop_
_symmetry_equiv_pos_as_xyz
'x,y,z'
loop_
_atom_site_label
_atom_site_type_symbol
_atom_site_fract_x
_atom_site_fract_y
_atom_site_fract_z
Y1 Y 0.0000 0.0000 0.0000
Cd1 Cd 0.5000 0.5000 0.5000
C1 C 0.5000 0.5000 0.0000
Cl1 Cl 0.0000 0.5000 0.5000
Cl2 Cl 0.5000 0.0000 0.5000
```

size of the total moment: 1.54 μB/f.u.
E_form (uncorrected): 0.461 eV/atom
DOS(E_F): 3.4 states/eV/cell
crystal system: tetragonal
energy: -3.8746 eV per atom

No. 2
A plane-wave DFT calculation with PBEsol was carried out for a relaxed Cr2CdPtC crystal.

Geometry as CIF:
```
data_Cr2CdPtC
_chemical_formula_sum 'Cr2 Cd1 Pt1 C1'
_symmetry_space_group_name_H-M 'P 1'
_symmetry_Int_Tables_number 1
_cell_length_a 4.9572
_cell_length_b 4.9572
_cell_length_c 4.8399
_cell_angle_alpha 90.00
_cell_angle_beta 90.00
_cell_angle_gamma 90.00
loop_
_symmetry_equiv_pos_as_xyz
'x,y,z'
loop_
_atom_site_label
_atom_site_type_symbol
_atom_site_fract_x
_atom_site_fract_y
_atom_site_fract_z
Cr1 Cr 0.0000 0.5000 0.0000
Cr2 Cr 0.5000 0.0000 0.0000
Cd1 Cd 0.0000 0.0000 0.0000
Pt1 Pt 0.0000 0.0000 0.5000
C1 C 0.5000 0.5000 0.5000
```

energy relative to the elements: 2.8901 eV per atom
size of the total moment: 7.97 μB/f.u.
DOS(E_F): 4.2 states/eV/cell
crystal system: tetragonal
energy: -4.7675 eV per atom

No. 3
A plane-wave DFT calculation with PBEsol was carried out for a relaxed Cs2CdC crystal.

Geometry as CIF:
```
data_Cs2CdC
_chemical_formula_sum 'Cs2 Cd1 C1'
_symmetry_space_group_name_H-M 'P 1'
_symmetry_Int_Tables_number 1
_cell_length_a 5.8433
_cell_length_b 5.8433
_cell_length_c 5.8433
_cell_angle_alpha 60.00
_cell_angle_beta 60.00
_cell_angle_gamma 60.00
loop_
_symmetry_equiv_pos_as_xyz
'x,y,z'
loop_
_atom_site_label
_atom_site_type_symbol
_atom_site_fract_x
_atom_site_fract_y
_atom_site_fract_z
Cs1 Cs 0.2500 0.2500 0.2500
Cs2 Cs 0.7500 0.7500 0.7500
Cd1 Cd 0.0000 0.0000 0.0000
C1 C 0.5000 0.5000 0.5000
```

energy relative to the elements: 1.3042 eV per atom
size of the total moment: 2.00 μB/f.u.
DOS(E_F): 2.4 states/eV/cell
crystal system: cubic
energy: -1.8773 eV per atom

No. 4
A plane-wave DFT calculation with PBEsol was carried out for a relaxed CsTl2CdC crystal.

Geometry as CIF:
```
data_CsTl2CdC
_chemical_formula_sum 'Cs1 Tl2 Cd1 C1'
_symmetry_space_group_name_H-M 'P 1'
_symmetry_Int_Tables_number 1
_cell_length_a 6.3538
_cell_length_b 6.3538
_cell_length_c 4.6558
_cell_angle_alpha 90.00
_cell_angle_beta 90.00
_cell_angle_gamma 90.00
loop_
_symmetry_equiv_pos_as_xyz
'x,y,z'
loop_
_atom_site_label
_atom_site_type_symbol
_atom_site_fract_x
_atom_site_fract_y
_atom_site_fract_z
Cs1 Cs 0.0000 0.0000 0.0000
Tl1 Tl 0.0000 0.5000 0.0000
Tl2 Tl 0.5000 0.0000 0.0000
Cd1 Cd 0.5000 0.5000 0.5000
C1 C 0.0000 0.0000 0.5000
```

energy relative to the elements: 1.8303 eV per atom
size of the total moment: 0.48 μB/f.u.
DOS(E_F): 4.1 states/eV/cell
crystal system: tetragonal
energy: -1.5784 eV per atom

No. 5
A plane-wave DFT calculation with PBEsol was carried out for a relaxed CdCN2F crystal.

Geometry as CIF:
```
data_CdCN2F
_chemical_formula_sum 'Cd1 C1 N2 F1'
_symmetry_space_group_name_H-M 'P 1'
_symmetry_Int_Tables_number 1
_cell_length_a 4.2414
_cell_length_b 4.2414
_cell_length_c 4.2159
_cell_angle_alpha 90.00
_cell_angle_beta 90.00
_cell_angle_gamma 90.00
loop_
_symmetry_equiv_pos_as_xyz
'x,y,z'
loop_
_atom_site_label
_atom_site_type_symbol
_atom_site_fract_x
_atom_site_fract_y
_atom_site_fract_z
Cd1 Cd 0.0000 0.0000 0.0000
C1 C 0.5000 0.5000 0.5000
N1 N 0.0000 0.5000 0.0000
N2 N 0.5000 0.0000 0.0000
F1 F 0.0000 0.0000 0.5000
```

size of the total moment: 2.16 μB/f.u.
E_form (uncorrected): 2.575 eV/atom
DOS(E_F): 4.3 states/eV/cell
crystal system: tetragonal
energy: -3.3898 eV per atom

No. 6
A plane-wave DFT calculation with PBEsol was carried out for a relaxed CdCNF2 crystal.

Geometry as CIF:
```
data_CdCNF2
_chemical_formula_sum 'Cd1 C1 N1 F2'
_symmetry_space_group_name_H-M 'P 1'
_symmetry_Int_Tables_number 1
_cell_length_a 4.6060
_cell_length_b 4.6060
_cell_length_c 2.5081
_cell_angle_alpha 90.00
_cell_angle_beta 90.00
_cell_angle_gamma 90.00
loop_
_symmetry_equiv_pos_as_xyz
'x,y,z'
loop_
_atom_site_label
_atom_site_type_symbol
_atom_site_fract_x
_atom_site_fract_y
_atom_site_fract_z
Cd1 Cd 0.0000 0.0000 0.0000
C1 C 0.5000 0.5000 0.5000
N1 N 0.5000 0.5000 0.0000
F1 F 0.0000 0.5000 0.5000
F2 F 0.5000 0.0000 0.5000
```

size of the total moment: 0.00 μB/f.u.
E_form (uncorrected): -0.378 eV/atom
DOS(E_F): 0.9 states/eV/cell
crystal system: tetragonal
energy: -5.0225 eV per atom

No. 7
A plane-wave DFT calculation with PBEsol was carried out for a relaxed CdFeC2 crystal.

Geometry as CIF:
```
data_CdFeC2
_chemical_formula_sum 'Cd2 Fe2 C4'
_symmetry_space_group_name_H-M 'P 1'
_symmetry_Int_Tables_number 1
_cell_length_a 5.5521
_cell_length_b 5.5521
_cell_length_c 5.5521
_cell_angle_alpha 128.92
_cell_angle_beta 128.92
_cell_angle_gamma 75.14
loop_
_symmetry_equiv_pos_as_xyz
'x,y,z'
loop_
_atom_site_label
_atom_site_type_symbol
_atom_site_fract_x
_atom_site_fract_y
_atom_site_fract_z
Cd1 Cd 0.0000 0.0000 0.0000
Cd2 Cd 0.7500 0.2500 0.5000
Fe1 Fe 0.2500 0.7500 0.5000
Fe2 Fe 0.5000 0.5000 0.0000
C1 C 0.2250 0.6250 0.1000
C2 C 0.3750 0.4750 0.6000
C3 C 0.5250 0.1250 0.9000
C4 C 0.8750 0.7750 0.4000
```

energy relative to the elements: 1.0233 eV per atom
size of the total moment: 0.00 μB/f.u.
DOS(E_F): 5.7 states/eV/cell
crystal system: tetragonal
energy: -6.3387 eV per atom

No. 8
A plane-wave DFT calculation with PBEsol was carried out for a relaxed CdGa2C crystal.

Geometry as CIF:
```
data_CdGa2C
_chemical_formula_sum 'Cd1 Ga2 C1'
_symmetry_space_group_name_H-M 'P 1'
_symmetry_Int_Tables_number 1
_cell_length_a 4.4968
_cell_length_b 4.4968
_cell_length_c 4.4968
_cell_angle_alpha 60.00
_cell_angle_beta 60.00
_cell_angle_gamma 60.00
loop_
_symmetry_equiv_pos_as_xyz
'x,y,z'
loop_
_atom_site_label
_atom_site_type_symbol
_atom_site_fract_x
_atom_site_fract_y
_atom_site_fract_z
Cd1 Cd 0.0000 0.0000 0.0000
Ga1 Ga 0.2500 0.2500 0.2500
Ga2 Ga 0.7500 0.7500 0.7500
C1 C 0.5000 0.5000 0.5000
```

energy relative to the elements: 1.2621 eV per atom
size of the total moment: 0.00 μB/f.u.
DOS(E_F): 1.9 states/eV/cell
crystal system: cubic
energy: -3.1180 eV per atom

> Look up the DOS(E_F) of the second one.

4.2 states/eV/cell